La2SnHg3: relaxed, PBE-GGA.

Cell: 10.025 9.482 6.303 Å, 75.89 66.53 37.57°
Atoms (fractional coordinates):
La 0.242 0.758 0.758
La 0.250 0.250 0.250
La 0.750 0.750 0.750
La 0.758 0.242 0.242
Sn 0.334 0.334 0.666
Sn 0.666 0.666 0.334
Hg 0.166 0.166 0.834
Hg 0.168 0.667 0.333
Hg 0.333 0.832 0.168
Hg 0.667 0.168 0.832
Hg 0.832 0.333 0.667
Hg 0.834 0.834 0.166

**Space group**: Fmmm (69)
**Final energy**: -36.0 eV per cell
**Energy relative to the elements**: -3.23 eV per formula unit

=====

Zn2TcSe: relaxed, PBE-GGA.

Cell: 6.408 6.408 6.408 Å, 90.00 90.00 90.00°
Atoms (fractional coordinates):
Zn 0.250 0.250 0.250
Zn 0.250 0.250 0.750
Zn 0.250 0.750 0.250
Zn 0.250 0.750 0.750
Zn 0.750 0.250 0.250
Zn 0.750 0.250 0.750
Zn 0.750 0.750 0.250
Zn 0.750 0.750 0.750
Tc 0.000 0.000 0.000
Tc 0.000 0.500 0.500
Tc 0.500 0.000 0.500
Tc 0.500 0.500 0.000
Se 0.000 0.000 0.500
Se 0.000 0.500 0.000
Se 0.500 0.000 0.000
Se 0.500 0.500 0.500

**Space group**: Fm-3m (225)
**Energy above the lowest structure with this stoichiometry**: 12.56 kcal/mol of atoms
**Final energy**: -56.4 eV per cell

=====

Cu2SBr: relaxed, PBE-GGA.

Cell: 3.782 3.782 20.988 Å, 90.00 90.00 120.00°
Atoms (fractional coordinates):
Cu 0.000 0.000 0.000
Cu 0.000 0.000 0.261
Cu 0.333 0.667 0.667
Cu 0.333 0.667 0.927
Cu 0.667 0.333 0.333
Cu 0.667 0.333 0.594
S 0.000 0.000 0.575
S 0.333 0.667 0.242
S 0.667 0.333 0.909
Br 0.000 0.000 0.397
Br 0.333 0.667 0.063
Br 0.667 0.333 0.730

**Space group**: R3m (160)
**Energy above the lowest structure with this stoichiometry**: 3.41 kcal/mol of atoms
**Final energy**: -43.2 eV per cell

=====

Pr2Al4GeAu3: relaxed, PBE-GGA.

Cell: 4.466 4.466 10.362 Å, 90.00 90.00 90.00°
Atoms (fractional coordinates):
Pr 0.000 0.500 0.247
Pr 0.500 0.000 0.753
Al 0.000 0.000 0.500
Al 0.000 0.500 0.869
Al 0.500 0.000 0.131
Al 0.500 0.500 0.500
Ge 0.500 0.500 0.000
Au 0.000 0.000 0.000
Au 0.000 0.500 0.628
Au 0.500 0.000 0.372

**Space group**: P-4m2 (115)
**Final energy**: -46.0 eV per cell
**Energy relative to the elements**: -7.00 eV per formula unit

=====

> What is the final energy in the fourth record?

-46.0 eV per cell

=====

What did the third record say?
Cu2SBr: relaxed, PBE-GGA.

Cell: 3.782 3.782 20.988 Å, 90.00 90.00 120.00°
Atoms (fractional coordinates):
Cu 0.000 0.000 0.000
Cu 0.000 0.000 0.261
Cu 0.333 0.667 0.667
Cu 0.333 0.667 0.927
Cu 0.667 0.333 0.333
Cu 0.667 0.333 0.594
S 0.000 0.000 0.575
S 0.333 0.667 0.242
S 0.667 0.333 0.909
Br 0.000 0.000 0.397
Br 0.333 0.667 0.063
Br 0.667 0.333 0.730

**Space group**: R3m (160)
**Energy above the lowest structure with this stoichiometry**: 3.41 kcal/mol of atoms
**Final energy**: -43.2 eV per cell